MgPbSN2 | Alexandria | PBE | relaxed; uncorrected formation energy = 4.4 eV/f.u.; ΔE to the lowest computed polymorph = 0 meV/atom; symmetry = P4/mmm; ρ = 5.30 g/cm3; raw total energy = -0.1595 hartree per atom
1.0
4.239 0.000 0.000
0.000 4.239 0.000
0.000 0.000 5.086
Pb N Mg S
1 2 1 1
Direct
0.500 0.500 0.500 Pb
0.000 0.500 0.000 N
0.500 0.000 0.000 N
0.000 0.000 0.000 Mg
0.000 0.000 0.500 S

---

ScIn2Au2 | Alexandria | PBE | relaxed; ΔE to the lowest computed polymorph = 0 meV/atom; symmetry = Pmmn; ρ = 9.96 g/cm3; raw total energy = -0.1526 hartree per atom
1.0
4.795 0.000 0.000
0.000 4.849 -0.066
0.000 0.134 9.587
Au Sc In
4 2 4
Direct
0.750 0.750 0.514 Au
0.750 0.750 0.166 Au
0.250 0.250 0.834 Au
0.250 0.250 0.486 Au
0.750 0.250 0.669 Sc
0.250 0.750 0.331 Sc
0.250 0.750 0.000 In
0.250 0.750 0.674 In
0.750 0.250 0.000 In
0.750 0.250 0.326 In

---

Ac2HoThSe4 | Alexandria | PBE | relaxed; uncorrected formation energy = -13.8 eV/f.u.; symmetry = P2/m; ρ = 8.63 g/cm3; raw total energy = -0.2203 hartree per atom
1.0
4.234 0.000 0.000
0.000 7.418 0.155
0.000 -2.567 7.092
Ac Se Ho Th
2 4 1 1
Direct
0.000 0.500 0.500 Ac
0.500 0.000 0.500 Ac
0.000 0.249 0.771 Se
0.000 0.751 0.229 Se
0.500 0.234 0.223 Se
0.500 0.766 0.777 Se
0.000 0.000 0.000 Ho
0.500 0.500 0.000 Th

---

CeVNi | Alexandria | PBE | relaxed; ΔE to the lowest computed polymorph = 149 meV/atom; symmetry = P4/nmm; ρ = 7.72 g/cm3; raw total energy = -0.2483 hartree per atom
1.0
3.872 0.000 0.000
0.000 3.872 0.000
0.000 0.000 7.167
V Ni Ce
2 2 2
Direct
0.500 0.000 0.800 V
0.000 0.500 0.200 V
0.500 0.500 0.000 Ni
0.000 0.000 0.000 Ni
0.500 0.000 0.348 Ce
0.000 0.500 0.652 Ce

---

Sr2PuNpAs4 | Alexandria | PBE | relaxed; symmetry = P2/m; ρ = 7.10 g/cm3; raw total energy = -0.2616 hartree per atom
1.0
-0.080 0.000 4.271
1.122 -7.317 0.022
6.614 3.507 0.124
As Sr Np Pu
4 2 1 1
Direct
0.000 0.742 0.214 As
0.500 0.234 0.213 As
0.500 0.766 0.787 As
0.000 0.258 0.786 As
0.000 0.500 0.500 Sr
0.500 0.000 0.500 Sr
0.000 0.000 0.000 Np
0.500 0.500 0.000 Pu

---

IrBr | Alexandria | PBE | relaxed; uncorrected formation energy = 1.1 eV/f.u.; ΔE to the lowest computed polymorph = 307 meV/atom; symmetry = P-3m1; ρ = 9.92 g/cm3; raw total energy = -0.1725 hartree per atom
1.0
-3.290 -1.230 0.177
2.675 -1.957 1.176
-0.874 3.448 7.729
Ir Br
2 2
Direct
0.000 0.000 0.537 Ir
0.667 0.333 0.713 Ir
0.667 0.333 0.324 Br
0.000 0.000 0.926 Br

---

Ca2CdRe | Alexandria | PBE | relaxed; symmetry = F-43m; ρ = 6.85 g/cm3; raw total energy = -0.1363 hartree per atom
1.0
-4.372 -1.432 2.115
-0.081 -1.623 4.796
-2.124 2.854 3.603
Ca Cd Re
2 1 1
Direct
0.250 0.250 0.250 Ca
0.000 0.000 0.000 Ca
0.500 0.500 0.500 Cd
0.750 0.750 0.750 Re

---

PrSmSbP | Alexandria | PBE | relaxed; uncorrected formation energy = -5.3 eV/f.u.; symmetry = R3m; ρ = 6.41 g/cm3; raw total energy = -0.2238 hartree per atom
1.0
-1.175 -2.150 -3.537
-2.078 -3.751 0.354
-7.359 1.507 -1.087
P Sb Pr Sm
1 1 1 1
Direct
0.248 0.248 0.255 P
0.752 0.752 0.745 Sb
0.992 0.992 0.023 Pr
0.508 0.508 0.477 Sm

---

CeZnHg | Alexandria | PBE | relaxed; symmetry = I4mm; ρ = 9.96 g/cm3; raw total energy = -0.0989 hartree per atom
1.0
-0.095 2.054 -2.635
-3.171 0.775 0.718
3.542 3.157 4.452
Zn Hg Ce
1 1 1
Direct
0.628 0.628 0.255 Zn
0.265 0.265 0.531 Hg
0.957 0.957 0.914 Ce

---

PuHfGaCu | Alexandria | PBE | relaxed; symmetry = F-43m; ρ = 11.68 g/cm3; raw total energy = -0.2921 hartree per atom
1.0
4.817 0.000 0.000
2.409 4.172 0.000
2.409 1.391 3.933
Cu Pu Ga Hf
1 1 1 1
Direct
0.500 0.500 0.500 Cu
0.750 0.750 0.750 Pu
0.000 0.000 0.000 Ga
0.250 0.250 0.250 Hf

---

Sr3LaTc | Alexandria | PBE | relaxed; ΔE to the lowest computed polymorph = 0 meV/atom; symmetry = Pm-3m; ρ = 4.22 g/cm3; raw total energy = -0.1249 hartree per atom
1.0
-2.804 4.133 2.981
-4.589 -0.568 -3.528
-2.216 -4.053 3.534
Sr La Tc
3 1 1
Direct
0.000 0.500 0.000 Sr
0.000 0.000 0.500 Sr
0.500 0.000 0.000 Sr
0.500 0.500 0.500 La
0.000 0.000 0.000 Tc

---

BC5 | Alexandria | PBE | relaxed; ΔE to the lowest computed polymorph = 58 meV/atom; symmetry = P-1; ρ = 3.23 g/cm3; raw total energy = -0.3136 hartree per atom
1.0
-3.774 1.450 -1.943
-3.900 -2.042 -0.784
-0.179 1.586 4.844
C B
10 2
Direct
0.983 0.020 0.501 C
0.331 0.331 0.663 C
0.571 0.080 0.914 C
0.919 0.419 0.587 C
0.665 0.668 0.831 C
0.267 0.730 0.749 C
0.585 0.082 0.419 C
0.679 0.670 0.336 C
0.920 0.423 0.090 C
0.330 0.327 0.160 C
0.293 0.711 0.289 B
0.957 0.039 0.961 B

---

Y2CuHAu | Alexandria | PBE | relaxed; symmetry = P4/mmm; ρ = 8.05 g/cm3; raw total energy = -0.1930 hartree per atom
1.0
-2.799 -2.630 3.125
3.805 -3.056 0.836
1.108 2.145 2.798
Y Cu Au H
2 1 1 1
Direct
0.500 0.000 0.000 Y
0.000 0.500 0.000 Y
0.000 0.000 0.500 Cu
0.500 0.500 0.500 Au
0.000 0.000 0.000 H

---

BaMg7Cd5 | Alexandria | PBE | relaxed; symmetry = Imm2; ρ = 4.56 g/cm3; raw total energy = -0.0555 hartree per atom
1.0
5.516 0.000 2.265
2.768 7.286 1.109
-0.010 -0.002 7.873
Cd Mg Ba
5 7 1
Direct
0.002 0.001 0.496 Cd
0.002 0.496 0.001 Cd
0.502 0.496 0.001 Cd
0.717 0.783 0.783 Cd
0.502 0.001 0.496 Cd
0.644 0.356 0.356 Mg
0.998 0.357 0.647 Mg
0.998 0.647 0.357 Mg
0.502 0.218 0.777 Mg
0.276 0.224 0.224 Mg
0.502 0.777 0.218 Mg
0.354 0.646 0.646 Mg
0.001 0.999 0.999 Ba

---

KSrCd2Bi2 | Alexandria | PBE | relaxed; symmetry = P-3m1; ρ = 5.99 g/cm3; raw total energy = -0.0909 hartree per atom
1.0
-3.359 3.996 -0.195
-0.788 -3.912 3.371
4.852 4.382 6.219
Sr K Cd Bi
1 1 2 2
Direct
0.000 0.000 0.500 Sr
0.000 0.000 0.000 K
0.333 0.667 0.681 Cd
0.667 0.333 0.319 Cd
0.667 0.333 0.732 Bi
0.333 0.667 0.268 Bi

---

Li2CrIn | Alexandria | PBE | relaxed; symmetry = C2/m; ρ = 4.09 g/cm3; raw total energy = -0.1420 hartree per atom
1.0
4.948 0.022 0.079
-2.369 5.072 0.134
0.210 0.820 2.946
Li Cr In
2 1 1
Direct
0.500 0.000 0.500 Li
0.000 0.000 0.000 Li
0.000 0.500 0.500 Cr
0.500 0.500 0.000 In

---

Mg8PdPb2 | Alexandria | PBE | relaxed; ΔE to the lowest computed polymorph = 0 meV/atom; symmetry = C2/m; ρ = 4.71 g/cm3; raw total energy = -0.0909 hartree per atom
1.0
-1.972 4.261 -1.521
0.639 -2.045 -6.559
-6.083 -4.151 4.266
Mg Pb Pd
8 2 1
Direct
0.366 0.117 0.732 Mg
0.180 0.189 0.360 Mg
0.634 0.883 0.268 Mg
0.003 0.778 0.005 Mg
0.820 0.811 0.640 Mg
0.997 0.222 0.995 Mg
0.373 0.610 0.747 Mg
0.627 0.390 0.253 Mg
0.820 0.321 0.640 Pb
0.180 0.679 0.360 Pb
0.500 0.000 0.000 Pd

---

Pm6Ho2Pu | Alexandria | PBE | relaxed; symmetry = P4_2/mnm; ρ = 8.12 g/cm3; raw total energy = -0.2103 hartree per atom
1.0
10.774 0.000 0.000
0.000 5.058 -0.573
0.000 1.210 10.705
Pm Pu Ho
12 2 4
Direct
0.500 0.500 0.329 Pm
0.664 0.000 0.836 Pm
0.329 0.000 0.500 Pm
0.836 0.500 0.336 Pm
0.829 0.500 0.000 Pm
0.000 0.000 0.829 Pm
0.336 0.000 0.164 Pm
0.671 0.000 0.500 Pm
0.164 0.500 0.664 Pm
0.171 0.500 0.000 Pm
0.000 0.000 0.171 Pm
0.500 0.500 0.671 Pm
0.000 0.000 0.500 Pu
0.500 0.500 0.000 Pu
0.335 0.000 0.835 Ho
0.165 0.500 0.335 Ho
0.665 0.000 0.165 Ho
0.835 0.500 0.665 Ho

---

AcSm4Pt4 | Alexandria | PBE | relaxed; symmetry = P4_2/n; ρ = 10.20 g/cm3; raw total energy = -0.2299 hartree per atom
1.0
-3.844 -4.072 -1.646
3.103 -5.714 6.889
-6.417 3.662 5.928
Sm Pt Ac
8 8 2
Direct
0.002 0.178 0.605 Sm
0.502 0.105 0.322 Sm
0.498 0.322 0.895 Sm
0.998 0.605 0.822 Sm
0.498 0.678 0.105 Sm
0.502 0.895 0.678 Sm
0.998 0.395 0.178 Sm
0.002 0.822 0.395 Sm
0.498 0.611 0.802 Pt
0.998 0.698 0.111 Pt
0.502 0.198 0.611 Pt
0.002 0.889 0.698 Pt
0.002 0.111 0.302 Pt
0.502 0.802 0.389 Pt
0.498 0.389 0.198 Pt
0.998 0.302 0.889 Pt
0.500 0.500 0.500 Ac
0.000 0.000 0.000 Ac

---

KScSb2 | Alexandria | PBE | relaxed; uncorrected formation energy = -0.8 eV/f.u.; ΔE to the lowest computed polymorph = 366 meV/atom; symmetry = I-4m2; ρ = 4.95 g/cm3; raw total energy = -0.1517 hartree per atom
1.0
-1.048 -6.202 0.099
4.505 -3.906 -2.006
-0.546 4.902 3.905
Sb Sc K
2 1 1
Direct
0.250 0.750 0.500 Sb
0.000 0.000 0.000 Sb
0.500 0.500 0.000 Sc
0.750 0.250 0.500 K

---

RhAuIN2 | Alexandria | PBE | relaxed; uncorrected formation energy = 9.1 eV/f.u.; ΔE to the lowest computed polymorph = 725 meV/atom; symmetry = P4/mmm; ρ = 5.85 g/cm3; raw total energy = -0.1450 hartree per atom
1.0
-0.183 3.012 -2.497
-2.051 -2.203 -2.507
-7.153 2.555 3.606
I Rh Au N
1 1 1 2
Direct
0.000 0.000 0.500 I
0.500 0.500 0.500 Rh
0.000 0.000 0.000 Au
0.500 0.000 0.000 N
0.000 0.500 0.000 N

---

LaNbCl3 | Alexandria | PBE | relaxed; uncorrected formation energy = -1.2 eV/f.u.; ΔE to the lowest computed polymorph = 417 meV/atom; symmetry = Pm-3m; ρ = 3.36 g/cm3; raw total energy = -0.1598 hartree per atom
1.0
5.510 0.000 0.000
0.000 5.510 0.000
0.000 0.000 5.510
La Cl Nb
1 3 1
Direct
0.000 0.000 0.000 La
0.000 0.500 0.000 Cl
0.000 0.000 0.500 Cl
0.500 0.000 0.000 Cl
0.500 0.500 0.500 Nb

---

PaGeIrO6 | Alexandria | PBE | relaxed; uncorrected formation energy = -16.5 eV/f.u.; symmetry = P-31c; ρ = 9.27 g/cm3; raw total energy = -0.2825 hartree per atom
1.0
5.358 0.000 0.000
-2.679 4.640 0.000
0.000 0.000 8.528
O Pa Ir Ge
12 2 2 2
Direct
0.354 0.319 0.374 O
0.035 0.681 0.874 O
0.035 0.354 0.626 O
0.319 0.354 0.874 O
0.319 0.965 0.626 O
0.681 0.646 0.126 O
0.965 0.646 0.374 O
0.646 0.965 0.874 O
0.965 0.319 0.126 O
0.354 0.035 0.126 O
0.681 0.035 0.374 O
0.646 0.681 0.626 O
0.667 0.333 0.750 Pa
0.333 0.667 0.250 Pa
0.000 0.000 0.500 Ir
0.000 0.000 0.000 Ir
0.667 0.333 0.250 Ge
0.333 0.667 0.750 Ge

---

Sm2Dy7Y | Alexandria | PBE | relaxed; ΔE to the lowest computed polymorph = 139 meV/atom; symmetry = Cmmm; ρ = 7.71 g/cm3; raw total energy = -0.1711 hartree per atom
1.0
3.522 0.000 0.000
0.000 13.958 -4.773
0.000 -10.557 10.303
Dy Y Sm
7 1 2
Direct
0.500 0.852 0.655 Dy
0.500 0.345 0.148 Dy
0.000 0.186 0.814 Dy
0.500 0.655 0.852 Dy
0.500 0.148 0.345 Dy
0.000 0.814 0.186 Dy
0.500 0.500 0.500 Dy
0.000 0.000 0.000 Y
0.500 0.708 0.292 Sm
0.500 0.292 0.708 Sm